A plane-wave DFT calculation with PBE was carried out for a relaxed structure of Bi2PAu.

Calculated values
The value obtained for the total energy is -3.930 eV per atom. As for the formation energy: 0.182 eV per atom.

```
Bi2PAu
1.0
-3.233 3.233 6.277
3.233 -3.233 6.277
3.233 3.233 -6.277
Bi P Au
4 2 2
direct
0.119 0.625 0.994 Bi
0.375 0.369 0.494 Bi
0.631 0.125 0.006 Bi
0.875 0.881 0.506 Bi
0.000 0.000 0.000 P
0.750 0.250 0.500 P
0.250 0.750 0.500 Au
0.500 0.500 0.000 Au
```